a | First-principles (PBE) data for Tb4Nd4Tm3 after structural relaxation, as listed in Alexandria.

Calculated values
**V**: 357 Å³ per cell
**M_tot**: 0.00 μB per atom
**Mass density**: 7.99 g/cm³
**Space-group type**: No. 2

abc: 3.5352 5.6715 18.1256
angles: 99.00 95.59 90.00
With the nearest neighbours (Å) after each atom.
Atoms (fractional coordinates):
Tb  0.0451  0.0458  0.0910  3 Tb 3.24-3.54, 2 Nd 3.25
Tb  0.1798  0.6801  0.3602  3 Nd 3.20-3.38, 2 Tb 3.54
Tb  0.8202  0.3199  0.6398  3 Nd 3.20-3.38, 2 Tb 3.54
Tb  0.9549  0.9542  0.9090  3 Tb 3.24-3.54, 2 Nd 3.25
Nd  0.0900  0.5905  0.1803  3 Tb 3.20-3.25, 2 Nd 3.54
Nd  0.2318  0.2317  0.4632  4 Tb 3.38-3.61, 6 Nd 3.54-3.59
Nd  0.7682  0.7683  0.5368  4 Tb 3.38-3.61, 6 Nd 3.54-3.59
Nd  0.9100  0.4095  0.8197  3 Tb 3.20-3.25, 2 Nd 3.54
Tm  0.3651  0.8644  0.7294  2 Tm 3.54, 6 Tb 3.65-3.71, 6 Nd 3.71-3.86
Tm  0.5000  0.5000  0.0000  2 Tm 3.54, 4 Nd 3.67, 8 Tb 3.71-3.72
Tm  0.6349  0.1356  0.2706  2 Tm 3.54, 6 Tb 3.65-3.71, 6 Nd 3.71-3.86

b | First-principles (PBE) data for Tb4Nd4Tm3 after structural relaxation, as listed in Alexandria.

Calculated values
**V**: 369 Å³ per cell
**M_tot**: 0.00 μB per atom
**Mass density**: 7.73 g/cm³
**Space-group type**: No. 71

abc: 11.9543 11.9543 11.9543
angles: 162.58 133.64 49.89
With the nearest neighbours (Å) after each atom.
Atoms (fractional coordinates):
Tb  0.1829  0.0000  0.1829  2 Nd 3.38, 6 Tm 3.40-3.49, 3 Tb 3.44-3.62
Tb  0.2387  0.2387  0.0000  2 Tm 3.39, 6 Nd 3.55-3.67, 2 Tb 3.62
Tb  0.7613  0.7613  0.0000  2 Tm 3.39, 6 Nd 3.55-3.67, 2 Tb 3.62
Tb  0.8171  0.0000  0.8171  2 Nd 3.38, 6 Tm 3.40-3.49, 3 Tb 3.44-3.62
Nd  0.1789  0.8565  0.3224  3 Nd 3.34-3.62, 4 Tb 3.38-3.67, 2 Tm 3.62
Nd  0.4659  0.1435  0.3224  3 Nd 3.34-3.62, 4 Tb 3.38-3.67, 2 Tm 3.62
Nd  0.5341  0.8565  0.6776  3 Nd 3.34-3.62, 4 Tb 3.38-3.67, 2 Tm 3.62
Nd  0.8211  0.1435  0.6776  3 Nd 3.34-3.62, 4 Tb 3.38-3.67, 2 Tm 3.62
Tm  0.1067  0.6067  0.5000  6 Tb 3.39-3.40, 2 Tm 3.62, 4 Nd 3.62
Tm  0.5000  0.5000  0.0000  4 Tb 3.49, 2 Tm 3.62
Tm  0.8933  0.3933  0.5000  6 Tb 3.39-3.40, 2 Tm 3.62, 4 Nd 3.62

Most stable structure: a

a | First-principles (PBE) data for Tb12NdTm7 after structural relaxation, as listed in Alexandria.

Calculated values
**V**: 653 Å³ per cell
**M_tot**: 0.00 μB per atom
**Mass density**: 8.22 g/cm³
**Space-group type**: No. 148

abc: 8.6919 8.6919 8.6919
angles: 86.63 86.63 86.63
With the nearest neighbours (Å) after each atom.
Atoms (fractional coordinates):
Tb  0.1024  0.3454  0.4283  6 Tb 3.39-3.75, 3 Tm 3.42-3.73
Tb  0.2302  0.7586  0.3515  4 Tm 3.21-3.41, 2 Tb 3.51-3.53
Tb  0.2414  0.6485  0.7698  4 Tm 3.21-3.41, 2 Tb 3.51-3.53
Tb  0.3454  0.4283  0.1024  6 Tb 3.39-3.75, 3 Tm 3.42-3.73
Tb  0.3515  0.2302  0.7586  4 Tm 3.21-3.41, 2 Tb 3.51-3.53
Tb  0.4283  0.1024  0.3454  6 Tb 3.39-3.75, 3 Tm 3.42-3.73
Tb  0.5717  0.8976  0.6546  6 Tb 3.39-3.75, 3 Tm 3.42-3.73
Tb  0.6485  0.7698  0.2414  4 Tm 3.21-3.41, 2 Tb 3.51-3.53
Tb  0.6546  0.5717  0.8976  6 Tb 3.39-3.75, 3 Tm 3.42-3.73
Tb  0.7586  0.3515  0.2302  4 Tm 3.21-3.41, 2 Tb 3.51-3.53
Tb  0.7698  0.2414  0.6485  4 Tm 3.21-3.41, 2 Tb 3.51-3.53
Tb  0.8976  0.6546  0.5717  6 Tb 3.39-3.75, 3 Tm 3.42-3.73
Nd  0.0000  0.0000  0.0000  6 Tm 3.32
Tm  0.0033  0.3685  0.8777  1 Tm 3.21, 4 Tb 3.21-3.42, 1 Nd 3.32
Tm  0.1223  0.9967  0.6315  1 Tm 3.21, 4 Tb 3.21-3.42, 1 Nd 3.32
Tm  0.3685  0.8777  0.0033  1 Tm 3.21, 4 Tb 3.21-3.42, 1 Nd 3.32
Tm  0.5000  0.5000  0.5000  6 Tb 3.41
Tm  0.6315  0.1223  0.9967  1 Tm 3.21, 4 Tb 3.21-3.42, 1 Nd 3.32
Tm  0.8777  0.0033  0.3685  1 Tm 3.21, 4 Tb 3.21-3.42, 1 Nd 3.32
Tm  0.9967  0.6315  0.1223  1 Tm 3.21, 4 Tb 3.21-3.42, 1 Nd 3.32

b | First-principles (PBE) data for Tb12NdTm7 after structural relaxation, as listed in Alexandria.

Calculated values
**V**: 723 Å³ per cell
**M_tot**: 0.00 μB per atom
**Mass density**: 7.43 g/cm³
**Space-group type**: No. 229

abc: 9.7941 9.7941 9.7941
angles: 109.47 109.47 109.47
With the nearest neighbours (Å) after each atom.
Atoms (fractional coordinates):
Tb  0.0000  0.2576  0.7424  2 Tm 2.83
Tb  0.0000  0.7424  0.2576  2 Tm 2.83
Tb  0.2576  0.0000  0.7424  2 Tm 2.83
Tb  0.2576  0.2576  0.5152  2 Tm 2.83
Tb  0.2576  0.5152  0.2576  2 Tm 2.83
Tb  0.2576  0.7424  0.0000  2 Tm 2.83
Tb  0.4848  0.7424  0.7424  2 Tm 2.83
Tb  0.5152  0.2576  0.2576  2 Tm 2.83
Tb  0.7424  0.0000  0.2576  2 Tm 2.83
Tb  0.7424  0.2576  0.0000  2 Tm 2.83
Tb  0.7424  0.4848  0.7424  2 Tm 2.83
Tb  0.7424  0.7424  0.4848  2 Tm 2.83
Nd  0.0000  0.0000  0.0000  12 Tb 4.12
Tm  0.0000  0.0000  0.5000  6 Tb 2.83
Tm  0.0000  0.5000  0.0000  6 Tb 2.83
Tm  0.0000  0.5000  0.5000  12 Tb 3.88-4.00
Tm  0.5000  0.0000  0.0000  6 Tb 2.83
Tm  0.5000  0.0000  0.5000  12 Tb 3.88-4.00
Tm  0.5000  0.5000  0.0000  12 Tb 3.88-4.00
Tm  0.5000  0.5000  0.5000  6 Tb 2.83

Most stable structure: a

a | First-principles (PBE) data for TbNd7Tm12 after structural relaxation, as listed in Alexandria.

Calculated values
**V**: 705 Å³ per cell
**M_tot**: 0.00 μB per atom
**Mass density**: 7.53 g/cm³
**Space-group type**: No. 204

abc: 9.7096 9.7096 9.7096
angles: 109.47 109.47 109.47
With the nearest neighbours (Å) after each atom.
Atoms (fractional coordinates):
Tb  0.0000  0.0000  0.0000  12 Tm 3.91
Nd  0.0000  0.0000  0.5000  6 Tm 2.80
Nd  0.0000  0.5000  0.0000  6 Tm 2.80
Nd  0.0000  0.5000  0.5000  12 Tm 3.96-4.01
Nd  0.5000  0.0000  0.0000  6 Tm 2.80
Nd  0.5000  0.0000  0.5000  12 Tm 3.96-4.01
Nd  0.5000  0.5000  0.0000  12 Tm 3.96-4.01
Nd  0.5000  0.5000  0.5000  6 Tm 2.80
Tm  0.0007  0.7535  0.2471  2 Nd 2.80
Tm  0.2465  0.2471  0.4936  2 Nd 2.80
Tm  0.2465  0.7529  0.9993  2 Nd 2.80
Tm  0.2471  0.0007  0.7535  2 Nd 2.80
Tm  0.2471  0.4936  0.2465  2 Nd 2.80
Tm  0.4936  0.2465  0.2471  2 Nd 2.80
Tm  0.5064  0.7535  0.7529  2 Nd 2.80
Tm  0.7529  0.5064  0.7535  2 Nd 2.80
Tm  0.7529  0.9993  0.2465  2 Nd 2.80
Tm  0.7535  0.2471  0.0007  2 Nd 2.80
Tm  0.7535  0.7529  0.5064  2 Nd 2.80
Tm  0.9993  0.2465  0.7529  2 Nd 2.80

b | First-principles (PBE) data for TbNd7Tm12 after structural relaxation, as listed in Alexandria.

Calculated values
**V**: 663 Å³ per cell
**M_tot**: 0.00 μB per atom
**Mass density**: 8.01 g/cm³
**Space-group type**: No. 148

abc: 8.7408 8.7408 8.7408
angles: 85.89 85.89 85.89
With the nearest neighbours (Å) after each atom.
Atoms (fractional coordinates):
Tb  0.0000  0.0000  0.0000  6 Tm 3.40
Nd  0.0770  0.1569  0.3984  7 Tm 3.43-3.84, 3 Nd 3.45-3.46
Nd  0.1569  0.3984  0.0770  7 Tm 3.43-3.84, 3 Nd 3.45-3.46
Nd  0.3984  0.0770  0.1569  7 Tm 3.43-3.84, 3 Nd 3.45-3.46
Nd  0.5000  0.5000  0.5000  6 Tm 3.28
Nd  0.6016  0.9230  0.8431  7 Tm 3.43-3.84, 3 Nd 3.45-3.46
Nd  0.8431  0.6016  0.9230  7 Tm 3.43-3.84, 3 Nd 3.45-3.46
Nd  0.9230  0.8431  0.6016  7 Tm 3.43-3.84, 3 Nd 3.45-3.46
Tm  0.1351  0.4972  0.6179  5 Tm 3.24-3.58, 2 Nd 3.28-3.43
Tm  0.1448  0.7445  0.2728  4 Tm 3.27-3.58, 1 Tb 3.40, 2 Nd 3.48-3.57
Tm  0.2555  0.7272  0.8552  4 Tm 3.27-3.58, 1 Tb 3.40, 2 Nd 3.48-3.57
Tm  0.2728  0.1448  0.7445  4 Tm 3.27-3.58, 1 Tb 3.40, 2 Nd 3.48-3.57
Tm  0.3821  0.8649  0.5028  5 Tm 3.24-3.58, 2 Nd 3.28-3.43
Tm  0.4972  0.6179  0.1351  5 Tm 3.24-3.58, 2 Nd 3.28-3.43
Tm  0.5028  0.3821  0.8649  5 Tm 3.24-3.58, 2 Nd 3.28-3.43
Tm  0.6179  0.1351  0.4972  5 Tm 3.24-3.58, 2 Nd 3.28-3.43
Tm  0.7272  0.8552  0.2555  4 Tm 3.27-3.58, 1 Tb 3.40, 2 Nd 3.48-3.57
Tm  0.7445  0.2728  0.1448  4 Tm 3.27-3.58, 1 Tb 3.40, 2 Nd 3.48-3.57
Tm  0.8552  0.2555  0.7272  4 Tm 3.27-3.58, 1 Tb 3.40, 2 Nd 3.48-3.57
Tm  0.8649  0.5028  0.3821  5 Tm 3.24-3.58, 2 Nd 3.28-3.43

Most stable structure: b

a | First-principles (PBE) data for Tb5Nd2Tm12 after structural relaxation, as listed in Alexandria.

Calculated values
**V**: 606 Å³ per cell
**M_tot**: 0.00 μB per atom
**Mass density**: 8.52 g/cm³
**Space-group type**: No. 12

abc: 9.0623 9.0623 8.4573
angles: 91.32 91.32 60.83
With the nearest neighbours (Å) after each atom.
Atoms (fractional coordinates):
Tb  0.0000  0.0000  0.0000  10 Tm 3.49-3.68, 2 Tb 3.67
Tb  0.2326  0.2326  0.0762  10 Tm 3.35-3.72, 2 Tb 3.64-3.67
Tb  0.3010  0.3010  0.4909  8 Tm 3.39-3.63, 2 Nd 3.54, 1 Tb 3.64
Tb  0.6990  0.6990  0.5091  8 Tm 3.39-3.63, 2 Nd 3.54, 1 Tb 3.64
Tb  0.7674  0.7674  0.9238  10 Tm 3.35-3.72, 2 Tb 3.64-3.67
Nd  0.3154  0.6846  0.5000  8 Tm 3.36-3.59, 1 Nd 3.39, 2 Tb 3.54
Nd  0.6846  0.3154  0.5000  8 Tm 3.36-3.59, 1 Nd 3.39, 2 Tb 3.54
Tm  0.0249  0.6647  0.2541  5 Tm 3.30-3.68, 1 Nd 3.39, 4 Tb 3.44-3.68
Tm  0.0909  0.0909  0.3818  3 Tb 3.39-3.49, 2 Nd 3.39, 5 Tm 3.49-3.61
Tm  0.1819  0.5636  0.8464  4 Tb 3.35-3.68, 6 Tm 3.37-3.68, 1 Nd 3.59
Tm  0.3353  0.9751  0.7459  5 Tm 3.30-3.68, 1 Nd 3.39, 4 Tb 3.44-3.68
Tm  0.4364  0.8181  0.1536  4 Tb 3.35-3.68, 6 Tm 3.37-3.68, 1 Nd 3.59
Tm  0.4438  0.4438  0.1706  2 Nd 3.36, 7 Tm 3.37-3.42, 2 Tb 3.38-3.56
Tm  0.5562  0.5562  0.8294  2 Nd 3.36, 7 Tm 3.37-3.42, 2 Tb 3.38-3.56
Tm  0.5636  0.1819  0.8464  4 Tb 3.35-3.68, 6 Tm 3.37-3.68, 1 Nd 3.59
Tm  0.6647  0.0249  0.2541  5 Tm 3.30-3.68, 1 Nd 3.39, 4 Tb 3.44-3.68
Tm  0.8181  0.4364  0.1536  4 Tb 3.35-3.68, 6 Tm 3.37-3.68, 1 Nd 3.59
Tm  0.9091  0.9091  0.6182  3 Tb 3.39-3.49, 2 Nd 3.39, 5 Tm 3.49-3.61
Tm  0.9751  0.3353  0.7459  5 Tm 3.30-3.68, 1 Nd 3.39, 4 Tb 3.44-3.68

b | First-principles (PBE) data for Tb5Nd2Tm12 after structural relaxation, as listed in Alexandria.

Calculated values
**V**: 595 Å³ per cell
**M_tot**: 0.00 μB per atom
**Mass density**: 8.68 g/cm³
**Space-group type**: No. 2

abc: 6.2127 8.7521 11.9258
angles: 110.51 92.25 99.74
With the nearest neighbours (Å) after each atom.
Atoms (fractional coordinates):
Tb  0.0000  0.0000  0.0000  2 Tb 3.39, 8 Tm 3.57-3.72
Tb  0.2138  0.6632  0.9881  9 Tm 3.30-3.64, 2 Tb 3.39-3.65
Tb  0.3634  0.6499  0.4868  8 Tm 3.34-3.67, 2 Nd 3.45-3.50, 1 Tb 3.45
Tb  0.6366  0.3501  0.5132  8 Tm 3.34-3.67, 2 Nd 3.45-3.50, 1 Tb 3.45
Tb  0.7862  0.3368  0.0119  9 Tm 3.30-3.64, 2 Tb 3.39-3.65
Nd  0.2689  0.0571  0.5774  6 Tm 3.28-3.63, 2 Tb 3.45-3.50, 2 Nd 3.56-3.57
Nd  0.7311  0.9429  0.4226  6 Tm 3.28-3.63, 2 Tb 3.45-3.50, 2 Nd 3.56-3.57
Tm  0.1000  0.2214  0.3460  6 Tm 3.40-3.73, 2 Nd 3.44-3.72, 3 Tb 3.59-3.67
Tm  0.1650  0.4698  0.6757  4 Tb 3.34-3.67, 7 Tm 3.40-3.73, 1 Nd 3.57
Tm  0.2170  0.8281  0.2830  2 Tb 3.30-3.48, 5 Tm 3.34-3.50, 3 Nd 3.35-3.63
Tm  0.2837  0.2707  0.8662  1 Nd 3.28, 4 Tb 3.34-3.64, 5 Tm 3.34-3.48
Tm  0.3093  0.4288  0.1690  7 Tm 3.37-3.61, 5 Tb 3.51-3.71
Tm  0.4527  0.9001  0.8248  6 Tm 3.46-3.71, 5 Tb 3.51-3.85
Tm  0.5473  0.0999  0.1752  6 Tm 3.46-3.71, 5 Tb 3.51-3.85
Tm  0.6907  0.5712  0.8310  7 Tm 3.37-3.61, 5 Tb 3.51-3.71
Tm  0.7163  0.7293  0.1338  1 Nd 3.28, 4 Tb 3.34-3.64, 5 Tm 3.34-3.48
Tm  0.7830  0.1719  0.7170  2 Tb 3.30-3.48, 5 Tm 3.34-3.50, 3 Nd 3.35-3.63
Tm  0.8350  0.5302  0.3243  4 Tb 3.34-3.67, 7 Tm 3.40-3.73, 1 Nd 3.57
Tm  0.9000  0.7786  0.6540  6 Tm 3.40-3.73, 2 Nd 3.44-3.72, 3 Tb 3.59-3.67

Most stable structure: b